[1]
{"formula": "YRe", "functional": "GGA-PBE", "state": "relaxed", "lattice_angstrom": [[6.453, 0.000, 0.000], [0.000, 6.881, 0.000], [0.000, 0.000, 8.156]], "species": ["Y", "Y", "Y", "Y", "Y", "Y", "Y", "Y", "Re", "Re", "Re", "Re", "Re", "Re", "Re", "Re"], "frac_coords": [[0.107, 0.193, 0.260], [0.138, 0.438, 0.929], [0.362, 0.562, 0.429], [0.393, 0.807, 0.760], [0.607, 0.307, 0.740], [0.638, 0.062, 0.071], [0.862, 0.938, 0.571], [0.893, 0.693, 0.240], [0.066, 0.950, 0.940], [0.186, 0.187, 0.653], [0.314, 0.813, 0.153], [0.434, 0.050, 0.440], [0.566, 0.550, 0.060], [0.686, 0.313, 0.347], [0.814, 0.687, 0.847], [0.934, 0.450, 0.560]], "final_energy_ev_per_atom": -9.260, "delta_e_f_ev_per_atom": 0.196, "dos_at_fermi_per_ev_fu": 1.7}

***

[2]
{"formula": "BaCdRe2", "functional": "GGA-PBE", "state": "relaxed", "lattice_angstrom": [[2.850, 0.000, 0.000], [0.000, 2.850, 0.000], [0.000, 0.000, 10.252]], "species": ["Ba", "Cd", "Re", "Re"], "frac_coords": [[0.000, 0.000, 0.000], [0.000, 0.000, 0.500], [0.500, 0.500, 0.282], [0.500, 0.500, 0.718]], "final_energy_ev_per_atom": -5.625, "delta_e_f_ev_per_atom": 1.309, "dos_at_fermi_per_ev_fu": 5.1}

***

[3]
{"formula": "Nb4Co", "functional": "GGA-PBE", "state": "relaxed", "lattice_angstrom": [[4.589, 0.000, 0.000], [0.000, 4.589, 0.000], [0.000, 0.000, 4.589]], "species": ["Nb", "Nb", "Nb", "Nb", "Co"], "frac_coords": [[0.000, 0.000, 0.000], [0.000, 0.500, 0.500], [0.500, 0.000, 0.500], [0.500, 0.500, 0.000], [0.500, 0.500, 0.500]], "final_energy_ev_per_atom": -8.751, "relative_energy_mev_per_atom": 665, "delta_e_f_ev_per_atom": 0.726, "dos_at_fermi_per_ev_fu": 7.5}

***

[4]
{"formula": "La6AlHg", "functional": "GGA-PBE", "state": "relaxed", "lattice_angstrom": [[5.577, 0.000, 0.000], [-2.767, 6.289, 0.000], [-0.003, -2.531, 7.569]], "species": ["La", "La", "La", "La", "La", "La", "Al", "Hg"], "frac_coords": [[0.000, 0.001, 0.258], [0.000, 0.999, 0.742], [0.283, 0.567, 0.641], [0.286, 0.572, 0.146], [0.714, 0.428, 0.854], [0.717, 0.433, 0.359], [0.500, 0.000, 0.500], [0.500, 0.000, 0.000]], "final_energy_ev_per_atom": -4.394, "delta_e_f_ev_per_atom": -0.193, "dos_at_fermi_per_ev_fu": 10.6}

***

[5]
{"formula": "CoSbRu2", "functional": "GGA-PBE", "state": "relaxed", "lattice_angstrom": [[4.349, 0.000, 0.000], [0.000, 4.349, 0.000], [0.000, 0.000, 3.134]], "species": ["Co", "Sb", "Ru", "Ru"], "frac_coords": [[0.000, 0.000, 0.000], [0.500, 0.500, 0.000], [0.000, 0.500, 0.500], [0.500, 0.000, 0.500]], "formation_energy_uncorrected_ev_per_atom": 0.207, "final_energy_ev_per_atom": -7.238, "dos_at_fermi_per_ev_fu": 7.3}

***

[6]
{"formula": "Ti4CoSi", "functional": "GGA-PBE", "state": "relaxed", "lattice_angstrom": [[5.841, 0.000, 0.000], [0.000, 5.842, 0.000], [-0.024, 0.000, 5.970]], "species": ["Ti", "Ti", "Ti", "Ti", "Ti", "Ti", "Ti", "Ti", "Co", "Co", "Si", "Si"], "frac_coords": [[0.249, 0.250, 0.237], [0.249, 0.750, 0.237], [0.251, 0.250, 0.763], [0.251, 0.750, 0.763], [0.749, 0.250, 0.237], [0.749, 0.750, 0.237], [0.751, 0.250, 0.763], [0.751, 0.750, 0.763], [0.000, 0.000, 0.000], [0.500, 0.500, 0.000], [0.000, 0.500, 0.500], [0.500, 0.000, 0.500]], "formation_energy_uncorrected_ev_per_atom": -0.146, "final_energy_ev_per_atom": -7.497, "dos_at_fermi_per_ev_fu": 6.6}

***

[7]
{"formula": "CdSi2Os", "functional": "GGA-PBE", "state": "relaxed", "lattice_angstrom": [[8.082, 0.000, 0.000], [0.000, 3.100, 0.000], [-0.724, 0.000, 5.206]], "species": ["Cd", "Cd", "Si", "Si", "Si", "Si", "Os", "Os"], "frac_coords": [[0.000, 0.000, 0.000], [0.500, 0.500, 0.000], [0.230, 0.000, 0.687], [0.270, 0.500, 0.313], [0.730, 0.500, 0.687], [0.770, 0.000, 0.313], [0.000, 0.500, 0.500], [0.500, 0.000, 0.500]], "formation_energy_uncorrected_ev_per_atom": 0.165, "final_energy_ev_per_atom": -5.583, "dos_at_fermi_per_ev_fu": 1.6}